1.
Below is a relaxed structure of CePrGaRu, with properties calculated at the GGA-PBE level.

Computed properties:
M_tot (μB/f.u.): 0.0
SG: Amm2
Calculated formation energy (eV per atom): -0.4674
Relative energy among the computed polymorphs (eV/f.u.): 0.00

a b c (Å): 3.777 6.500 6.500
angles (deg): 37.14 90.00 90.00
Atoms (fractional coordinates):
Ce  0.000  0.000  0.000
Pr  0.500  0.721  0.721
Ga  0.000  0.316  0.316
Ru  0.500  0.465  0.465

---

2.
Below is a relaxed structure of CePrGaSi, with properties calculated at the GGA-PBE level.

Computed properties:
M_tot (μB/f.u.): 1.4
Formation energy from raw total energies (eV/f.u.): -2.48
SG: Amm2
Relative energy among the computed polymorphs (eV/f.u.): 0.00

a b c (Å): 4.048 6.039 6.039
angles (deg): 42.92 90.00 90.00
Atoms (fractional coordinates):
Ce  0.000  0.000  0.000
Pr  0.500  0.713  0.713
Ga  0.000  0.290  0.290
Si  0.500  0.431  0.431

---

3.
Below is a relaxed structure of CePrGaSi, with properties calculated at the GGA-PBE level.

Computed properties:
M_tot (μB/f.u.): 1.2
Formation energy from raw total energies (eV/f.u.): -1.73
SG: F-43m
Relative energy among the computed polymorphs (eV/f.u.): 0.74

a b c (Å): 5.173 5.173 5.173
angles (deg): 60.00 60.00 60.00
Atoms (fractional coordinates):
Ce  0.000  0.000  0.000
Pr  0.500  0.500  0.500
Ga  0.250  0.250  0.250
Si  0.750  0.750  0.750

---

4.
Below is a relaxed structure of CePrSmGa, with properties calculated at the GGA-PBE level.

Computed properties:
M_tot (μB/f.u.): 0.0
SG: F-43m
Calculated formation energy (eV per atom): -0.0448

a b c (Å): 5.370 5.370 5.370
angles (deg): 60.00 60.00 60.00
Atoms (fractional coordinates):
Ce  0.000  0.000  0.000
Pr  0.750  0.750  0.750
Sm  0.250  0.250  0.250
Ga  0.500  0.500  0.500

---

5.
Below is a relaxed structure of CePrTlGa, with properties calculated at the GGA-PBE level.

Computed properties:
M_tot (μB/f.u.): 0.9
SG: P4mm
Calculated formation energy (eV per atom): -0.4041
Relative energy among the computed polymorphs (eV/f.u.): 0.00

a b c (Å): 3.499 3.499 8.802
angles (deg): 90.00 90.00 90.00
Atoms (fractional coordinates):
Ce  0.000  0.000  0.000
Pr  0.000  0.000  0.457
Tl  0.500  0.500  0.733
Ga  0.500  0.500  0.225

---

6.
Below is a relaxed structure of CePrTlGa, with properties calculated at the GGA-PBE level.

Computed properties:
M_tot (μB/f.u.): 0.9
SG: F-43m
Calculated formation energy (eV per atom): -0.3533
Relative energy among the computed polymorphs (eV/f.u.): 0.20

a b c (Å): 5.397 5.397 5.397
angles (deg): 60.00 60.00 60.00
Atoms (fractional coordinates):
Ce  0.000  0.000  0.000
Pr  0.500  0.500  0.500
Tl  0.250  0.250  0.250
Ga  0.750  0.750  0.750

---

7.
Below is a relaxed structure of CePrTmGa, with properties calculated at the GGA-PBE level.

Computed properties:
M_tot (μB/f.u.): 1.0
SG: F-43m
Calculated formation energy (eV per atom): -0.0700

a b c (Å): 5.377 5.377 5.377
angles (deg): 60.00 60.00 60.00
Atoms (fractional coordinates):
Ce  0.000  0.000  0.000
Pr  0.500  0.500  0.500
Tm  0.750  0.750  0.750
Ga  0.250  0.250  0.250

---

8.
Below is a relaxed structure of CePr2Zn2Ga2, with properties calculated at the GGA-PBE level.

Computed properties:
M_tot (μB/f.u.): 0.0
SG: R-3m
Calculated formation energy (eV per atom): -0.3679

a b c (Å): 9.860 9.860 9.860
angles (deg): 26.57 26.57 26.57
Atoms (fractional coordinates):
Ce  0.000  0.000  0.000
Pr  0.125  0.125  0.125
Pr  0.875  0.875  0.875
Zn  0.392  0.392  0.392
Zn  0.608  0.608  0.608
Ga  0.271  0.271  0.271
Ga  0.729  0.729  0.729

---

9.
Below is a relaxed structure of CePrZnGa, with properties calculated at the GGA-PBE level.

Computed properties:
M_tot (μB/f.u.): 0.8
SG: F-43m
Calculated formation energy (eV per atom): -0.3639

a b c (Å): 5.206 5.206 5.206
angles (deg): 60.00 60.00 60.00
Atoms (fractional coordinates):
Ce  0.000  0.000  0.000
Pr  0.500  0.500  0.500
Zn  0.250  0.250  0.250
Ga  0.750  0.750  0.750

---

10.
Below is a relaxed structure of Ce2PrZn2Ga2, with properties calculated at the GGA-PBE level.

Computed properties:
M_tot (μB/f.u.): 1.3
SG: R-3m
Calculated formation energy (eV per atom): -0.4341

a b c (Å): 9.663 9.663 9.663
angles (deg): 26.09 26.09 26.09
Atoms (fractional coordinates):
Ce  0.143  0.143  0.143
Ce  0.857  0.857  0.857
Pr  0.000  0.000  0.000
Zn  0.407  0.407  0.407
Zn  0.593  0.593  0.593
Ga  0.260  0.260  0.260
Ga  0.740  0.740  0.740

---

11.
Below is a relaxed structure of CeGa4Pt6, with properties calculated at the GGA-PBE level.

Computed properties:
M_tot (μB/f.u.): 0.8
SG: I-42m
Calculated formation energy (eV per atom): -0.5409
Relative energy among the computed polymorphs (eV/f.u.): 2.74

a b c (Å): 6.655 6.655 6.655
angles (deg): 119.43 119.43 91.00
Atoms (fractional coordinates):
Ce  0.000  0.000  0.000
Ga  0.124  0.527  0.000
Ga  0.473  0.473  0.597
Ga  0.527  0.124  0.000
Ga  0.876  0.876  0.403
Pt  0.000  0.500  0.500
Pt  0.229  0.229  0.674
Pt  0.445  0.771  0.000
Pt  0.500  0.000  0.500
Pt  0.555  0.555  0.326
Pt  0.771  0.445  0.000

---

12.
Below is a relaxed structure of CeGa12Pt4, with properties calculated at the GGA-PBE level.

Computed properties:
M_tot (μB/f.u.): 1.2
SG: Im-3
Calculated formation energy (eV per atom): -0.3608

a b c (Å): 7.644 7.644 7.644
angles (deg): 109.47 109.47 109.47
Atoms (fractional coordinates):
Ce  0.000  0.000  0.000
Ga  0.152  0.499  0.346
Ga  0.152  0.806  0.654
Ga  0.194  0.346  0.848
Ga  0.346  0.152  0.499
Ga  0.346  0.848  0.194
Ga  0.499  0.346  0.152
Ga  0.501  0.654  0.848
Ga  0.654  0.152  0.806
Ga  0.654  0.848  0.501
Ga  0.806  0.654  0.152
Ga  0.848  0.194  0.346
Ga  0.848  0.501  0.654
Pt  0.000  0.000  0.500
Pt  0.000  0.500  0.000
Pt  0.500  0.000  0.000
Pt  0.500  0.500  0.500

---

13.
Below is a relaxed structure of CeGa2Pt3, with properties calculated at the GGA-PBE level.

Computed properties:
M_tot (μB/f.u.): 0.5
SG: Cmcm
Calculated formation energy (eV per atom): -0.8321

a b c (Å): 6.443 6.443 5.542
angles (deg): 90.00 90.00 77.65
Atoms (fractional coordinates):
Ce  0.173  0.827  0.750
Ce  0.827  0.173  0.250
Ga  0.282  0.282  0.000
Ga  0.282  0.282  0.500
Ga  0.718  0.718  0.000
Ga  0.718  0.718  0.500
Pt  0.048  0.649  0.250
Pt  0.351  0.952  0.250
Pt  0.479  0.521  0.250
Pt  0.521  0.479  0.750
Pt  0.649  0.048  0.750
Pt  0.952  0.351  0.750

---

14.
Below is a relaxed structure of CeGaPt2, with properties calculated at the GGA-PBE level.

Computed properties:
M_tot (μB/f.u.): 0.4
SG: Pnma
Calculated formation energy (eV per atom): -0.9997

a b c (Å): 7.470 7.063 5.845
angles (deg): 90.00 90.00 90.00
Atoms (fractional coordinates):
Ce  0.030  0.250  0.154
Ce  0.470  0.750  0.654
Ce  0.530  0.250  0.346
Ce  0.970  0.750  0.846
Ga  0.114  0.750  0.348
Ga  0.386  0.250  0.848
Ga  0.614  0.750  0.152
Ga  0.886  0.250  0.652
Pt  0.189  0.050  0.578
Pt  0.189  0.450  0.578
Pt  0.311  0.550  0.078
Pt  0.311  0.950  0.078
Pt  0.689  0.050  0.922
Pt  0.689  0.450  0.922
Pt  0.811  0.550  0.422
Pt  0.811  0.950  0.422

---

15.
Below is a relaxed structure of CeGaPt2, with properties calculated at the GGA-PBE level.

Computed properties:
M_tot (μB/f.u.): 0.0
SG: P4/mmm
Calculated formation energy (eV per atom): -0.7907

a b c (Å): 3.295 3.295 6.866
angles (deg): 90.00 90.00 90.00
Atoms (fractional coordinates):
Ce  0.000  0.000  0.000
Ga  0.000  0.000  0.500
Pt  0.500  0.500  0.289
Pt  0.500  0.500  0.711

---

16.
Below is a relaxed structure of CeGa2Pt, with properties calculated at the GGA-PBE level.

Computed properties:
M_tot (μB/f.u.): 0.6
SG: Pnma
Calculated formation energy (eV per atom): -0.7738

a b c (Å): 8.352 6.814 5.566
angles (deg): 90.00 90.00 90.00
Atoms (fractional coordinates):
Ce  0.048  0.250  0.129
Ce  0.452  0.750  0.629
Ce  0.548  0.250  0.371
Ce  0.952  0.750  0.871
Ga  0.183  0.052  0.624
Ga  0.183  0.448  0.624
Ga  0.317  0.552  0.124
Ga  0.317  0.948  0.124
Ga  0.683  0.052  0.876
Ga  0.683  0.448  0.876
Ga  0.817  0.552  0.376
Ga  0.817  0.948  0.376
Pt  0.091  0.750  0.360
Pt  0.409  0.250  0.860
Pt  0.591  0.750  0.140
Pt  0.909  0.250  0.640

---

17.
Below is a relaxed structure of Ce3Ga4Pt, with properties calculated at the GGA-PBE level.

Computed properties:
M_tot (μB/f.u.): 1.8
SG: Immm
Calculated formation energy (eV per atom): -0.4696

a b c (Å): 7.496 7.496 7.496
angles (deg): 143.93 126.71 66.04
Atoms (fractional coordinates):
Ce  0.000  0.000  0.000
Ce  0.330  0.830  0.500
Ce  0.670  0.170  0.500
Ga  0.078  0.377  0.701
Ga  0.324  0.623  0.701
Ga  0.676  0.377  0.299
Ga  0.922  0.623  0.299
Pt  0.500  0.500  0.000

---

18.
Below is a relaxed structure of Ce2Ga5Pt3, with properties calculated at the GGA-PBE level.

Computed properties:
M_tot (μB/f.u.): 0.2
SG: Cmc2_1
Calculated formation energy (eV per atom): -0.8850

a b c (Å): 12.605 12.605 6.849
angles (deg): 90.00 90.00 159.81
Atoms (fractional coordinates):
Ce  0.017  0.983  0.500
Ce  0.327  0.673  0.533
Ce  0.673  0.327  0.033
Ce  0.983  0.017  0.000
Ga  0.104  0.896  0.845
Ga  0.206  0.794  0.345
Ga  0.208  0.792  0.746
Ga  0.377  0.623  0.000
Ga  0.448  0.552  0.676
Ga  0.552  0.448  0.176
Ga  0.623  0.377  0.500
Ga  0.792  0.208  0.246
Ga  0.794  0.206  0.845
Ga  0.896  0.104  0.345
Pt  0.106  0.894  0.242
Pt  0.274  0.726  0.047
Pt  0.448  0.552  0.284
Pt  0.552  0.448  0.784
Pt  0.726  0.274  0.547
Pt  0.894  0.106  0.742

---

19.
Below is a relaxed structure of CeGa2Pt, with properties calculated at the GGA-PBE level.

Computed properties:
M_tot (μB/f.u.): 0.3
SG: Pnma
Calculated formation energy (eV per atom): -0.8293

a b c (Å): 6.711 4.450 10.385
angles (deg): 90.00 90.00 90.00
Atoms (fractional coordinates):
Ce  0.230  0.250  0.157
Ce  0.270  0.750  0.657
Ce  0.730  0.250  0.343
Ce  0.770  0.750  0.843
Ga  0.084  0.250  0.846
Ga  0.233  0.750  0.952
Ga  0.267  0.250  0.452
Ga  0.416  0.750  0.346
Ga  0.584  0.250  0.654
Ga  0.733  0.750  0.548
Ga  0.767  0.250  0.048
Ga  0.916  0.750  0.154
Pt  0.035  0.750  0.390
Pt  0.465  0.250  0.890
Pt  0.535  0.750  0.110
Pt  0.965  0.250  0.610

---

20.
Below is a relaxed structure of CeGa2Pt, with properties calculated at the GGA-PBE level.

Computed properties:
M_tot (μB/f.u.): 0.6
SG: P4/mmm
Calculated formation energy (eV per atom): -0.5824

a b c (Å): 3.249 3.249 7.145
angles (deg): 90.00 90.00 90.00
Atoms (fractional coordinates):
Ce  0.000  0.000  0.000
Ga  0.500  0.500  0.300
Ga  0.500  0.500  0.700
Pt  0.000  0.000  0.500

---

no.,DOS at the Fermi energy (states/eV per cell)
1,3.8
2,6.3
3,7.4
4,6.8
5,6.7
6,8.2
7,9.3
8,7.8
9,9.1
10,8.8
11,11.8
12,17.1
13,13.3
14,18.8
15,3.7
16,22.8
17,17.8
18,15.3
19,16.7
20,4.4